# Ca2AlCd3

A relaxed structure of Ca2AlCd3 (GGA-PBE, Alexandria via LeMat-Bulk).

Summary:
Symmetry: Fmmm (69)
D(E_F), states/eV per cell: 6.04
ΔH_f (0 K), eV/atom: -0.31
E_tot, eV/cell: -24.7

Cell: 9.851 9.267 6.104 Å, 76.66 66.26 37.08°
Fractional positions:
Ca  0.248  0.752  0.752
Ca  0.250  0.250  0.250
Ca  0.750  0.750  0.750
Ca  0.752  0.248  0.248
Al  0.333  0.333  0.667
Al  0.667  0.667  0.333
Cd  0.170  0.170  0.830
Cd  0.171  0.660  0.340
Cd  0.340  0.829  0.171
Cd  0.660  0.171  0.829
Cd  0.829  0.340  0.660
Cd  0.830  0.830  0.170